A relaxed structure of LaSm2Dy. Source: Alexandria via LeMat-Bulk, functional GGA-PBE.

Properties
The value obtained for the offset from the most stable computed form is 105.7 meV/atom. As for the volume: 409.8 Å³ per cell.

Cell: 3.5331 3.5331 37.9057 Å, 90.00 90.00 120.00°
Space group R-3m (No. 166, hexagonal axes)
Symmetry-distinct sites (fractional):
La 0.0000 0.0000 0.0000 x3
Sm 0.0000 0.0000 0.0905 x6
Dy 0.0000 0.0000 0.5000 x3